CaSe2F: relaxed, PBE.

Calculated values
Formation energy (no corrections) in eV per formula unit: 0.183
SG: R-3m (166)

```
CaSe2F
1.0
1.659 0.958 9.321
-1.659 0.958 9.321
0.000 -1.916 9.321
Ca Se F
1 2 1
Direct
0.000 0.000 0.000
0.099 0.099 0.099
0.901 0.901 0.901
0.500 0.500 0.500
```